No. 1
A geometry-optimized SrY2Be structure. Source: the Alexandria database, functional PBE.

ΔE_f (kJ/mol of atoms): 22

a = 6.7884 Å, b = 6.7884 Å, c = 5.6261 Å
α = 65.51°, β = 65.51°, γ = 30.69°
With the nearest neighbours (Å) after each atom.
Fractional coordinates of all 4 atoms:
Sr (0.2500, 0.2500, 0.2500)  4 Be 3.34, 2 Sr 3.59, 4 Y 3.64
Y (0.4450, 0.4450, 0.5550)  2 Be 2.92
Be (0.7500, 0.7500, 0.7500)  4 Y 2.92
Y (0.0550, 0.0550, 0.9450)  2 Be 2.92

=====

No. 2
A geometry-optimized CsBa2F structure. Source: the Alexandria database, functional PBE.

ΔE_f (raw) (eV/atom): -0.330

a = 6.7213 Å, b = 6.7213 Å, c = 6.7213 Å
α = 60.00°, β = 60.00°, γ = 60.00°
With the nearest neighbours (Å) after each atom.
Fractional coordinates of all 4 atoms:
F (0.0000, 0.0000, 0.0000)  8 Ba 4.12
Cs (0.5000, 0.5000, 0.5000)  8 Ba 4.12
Ba (0.7500, 0.7500, 0.7500)  4 F 4.12, 4 Cs 4.12
Ba (0.2500, 0.2500, 0.2500)  4 Cs 4.12, 4 F 4.12

=====

No. 3
A geometry-optimized In2AsAu structure. Source: the Alexandria database, functional PBE.

ΔE_f (kJ/mol of atoms): 4

a = 5.1428 Å, b = 5.1428 Å, c = 5.1428 Å
α = 127.25°, β = 117.90°, γ = 85.80°
With the nearest neighbours (Å) after each atom.
Fractional coordinates of all 4 atoms:
As (0.7500, 0.2500, 0.5000)  8 In 3.00-3.22
In (0.0078, 0.0078, 0.0000)  2 Au 2.92, 4 As 3.00-3.22
Au (0.2500, 0.7500, 0.5000)  4 In 2.92
In (0.4922, 0.4922, 0.0000)  2 Au 2.92, 4 As 3.00-3.22

=====

| no. | total moment (μB per formula unit) | N(E_F) (states/eV/atom) |
| --- | --- | --- |
| 1 | 0.0 | 1.317 |
| 2 | 0.1 | 1.636 |
| 3 | 0.0 | 0.281 |